1.
First-principles (GGA+U) data for a relaxed structure of K2Gd2MgMo4O16, as listed in Alexandria via LeMat-Bulk.

Cell lengths 7.6118, 7.6221, 7.9459 Å; angles 86.36, 61.73, 60.91 degrees
Closest atoms and distances in Å follow each position.
Sites, in units of the cell vectors:
1 K 0.0000 0.0000 0.0000  5 O 2.64-2.92
2 K 0.4175 0.5097 0.6965  6 O 2.72-3.00, 1 Mg 2.96
3 Gd 0.4662 0.0066 0.0445  6 O 2.29-2.42
4 Gd 0.9420 0.5014 0.6272  6 O 2.24-2.45
5 Mg 0.5318 0.2813 0.3375  4 O 1.96-2.06
6 Mo 0.0023 0.9582 0.5313  4 O 1.78-1.92
7 Mo 0.3812 0.5694 0.1351  4 O 1.85-1.98
8 Mo 0.5031 0.9511 0.5256  3 O 1.80-1.99
9 Mo 0.8919 0.5352 0.1571  3 O 1.81-1.91
10 O 0.0974 0.2902 0.1742  1 Mo 1.81
11 O 0.1331 0.6263 0.0922  2 Mo 1.91-2.10
12 O 0.2001 0.8976 0.2529  1 Mo 1.92
13 O 0.2133 0.5881 0.4181  1 Mo 1.96
14 O 0.2354 0.8802 0.5885  1 Mo 1.85
15 O 0.2930 0.2122 0.4927  1 Mo 1.95, 1 Mg 1.96
16 O 0.3930 0.9964 0.7855  1 Mo 1.80
17 O 0.5283 0.2661 0.0834  1 Mo 1.98, 1 Mg 2.04
18 O 0.5710 0.6257 0.9166  1 Mo 1.85
19 O 0.6441 0.8443 0.2204  2 Mo 2.07-2.15, 1 Gd 2.29
20 O 0.6655 0.4612 0.2202  1 Mo 1.91, 1 Mg 2.02
21 O 0.7165 0.0587 0.4465  1 Mo 1.99, 1 Mg 2.06
22 O 0.7562 0.6440 0.4549  2 Mo 2.07-2.11, 1 Gd 2.28
23 O 0.8246 0.8746 0.7326  1 Mo 1.86
24 O 0.8635 0.2283 0.6114  1 Mo 1.78
25 O 0.9929 0.5089 0.8970  1 Mo 1.82

The value obtained for the density is 5066 kg/m³. As for the space group: P1. As for the distance to the lowest polymorph of the same formula: 0.00 eV per formula unit. Its total DFT energy (no corrections) is -7.7066 eV per atom.

2.
First-principles (GGA+U) data for a relaxed structure of K2Gd2MgMo4O16, as listed in Alexandria via LeMat-Bulk.

Cell lengths 7.0357, 7.9938, 8.0391 Å; angles 62.40, 76.74, 88.60 degrees
Closest atoms and distances in Å follow each position.
Sites, in units of the cell vectors:
1 K 0.0000 0.0000 0.0000  4 O 2.62-2.77
2 K 0.4990 0.2864 0.8929  6 O 2.65-2.83
3 Gd 0.3615 0.1758 0.4626  4 O 2.15-2.40
4 Gd 0.8380 0.4375 0.4326  5 O 2.26-2.46
5 Mg 0.1520 0.4829 0.6147  4 O 1.94-2.01
6 Mo 0.2550 0.5954 0.0102  3 O 1.80-2.01
7 Mo 0.4937 0.7715 0.2820  4 O 1.79-1.96
8 Mo 0.6250 0.9069 0.7763  4 O 1.82-1.98
9 Mo 0.8501 0.5382 0.9135  7 O 2.06-2.22
10 O 0.0944 0.2787 0.5570  1 Mg 1.97, 1 Gd 2.15
11 O 0.1607 0.5215 0.8334  1 Mg 1.94, 2 Mo 2.01-2.15
12 O 0.2737 0.3516 0.1755  1 Mo 1.80
13 O 0.2879 0.7133 0.1833  2 Mo 1.96-2.06
14 O 0.3489 0.8842 0.7666  2 Mo 1.98-2.21
15 O 0.3837 0.9313 0.3662  1 Mo 1.79
16 O 0.4375 0.5157 0.4786  1 Mo 1.90, 1 Mg 2.01
17 O 0.5604 0.6180 0.9127  3 Mo 2.05-2.12
18 O 0.6141 0.9407 0.9991  2 Mo 1.92-2.01
19 O 0.6184 0.1777 0.6056  1 Mo 1.96
20 O 0.6980 0.3480 0.2075  1 O 1.48
21 O 0.7420 0.7569 0.3096  1 Mo 1.81
22 O 0.7895 0.2493 0.0970  1 O 1.48
23 O 0.8616 0.5060 0.6721  1 Mg 2.01, 1 Mo 2.06
24 O 0.8734 0.8482 0.7152  1 Mo 1.82
25 O 0.9777 0.6259 0.0825  2 Mo 1.95-2.15

The value obtained for the density is 4520 kg/m³. As for the space group: P1. As for the distance to the lowest polymorph of the same formula: 4.19 eV per formula unit. Its total DFT energy (no corrections) is -7.5390 eV per atom.

3.
First-principles (GGA+U) data for a relaxed structure of K2Gd2MgMo4O16, as listed in Alexandria via LeMat-Bulk.

Cell lengths 7.5113, 7.6883, 7.7877 Å; angles 91.92, 117.66, 117.14 degrees
Closest atoms and distances in Å follow each position.
Sites, in units of the cell vectors:
1 K 0.0000 0.0000 0.0000  8 O 2.80-3.09
2 K 0.4804 0.5118 0.4870  4 O 2.55-2.76, 1 Mg 2.81
3 Gd 0.4991 0.0246 0.9608  8 O 2.28-2.54
4 Gd 0.9890 0.5481 0.4569  6 O 2.30-2.40
5 Mg 0.5405 0.7710 0.2471  5 O 2.03-2.16
6 Mo 0.0274 0.0759 0.5111  4 O 1.85-2.06
7 Mo 0.4583 0.4708 0.9383  4 O 1.88-2.00
8 Mo 0.5241 0.0625 0.5148  5 O 1.86-1.99
9 Mo 0.9610 0.4960 0.9281  4 O 1.81-1.95
10 O 0.0806 0.5717 0.1989  1 Mo 1.81
11 O 0.1196 0.7012 0.8430  1 Mo 1.85
12 O 0.2220 0.4130 0.6537  1 Mo 1.96
13 O 0.2432 0.1299 0.7984  1 Mo 1.94
14 O 0.2665 0.4642 0.0526  2 Mo 2.00-2.17, 1 Mg 2.13
15 O 0.2880 0.1282 0.4560  2 Mo 1.92-2.06
16 O 0.3724 0.8550 0.6093  1 Mo 1.89
17 O 0.4155 0.9689 0.2412  1 Mo 1.86
18 O 0.5794 0.7613 0.0064  1 Mo 1.93, 1 Mg 2.03
19 O 0.6243 0.3794 0.1370  1 Mo 1.88
20 O 0.7179 0.5416 0.8619  1 Mo 1.86
21 O 0.7415 0.9668 0.5540  2 Mo 1.99-2.11, 1 Mg 2.14
22 O 0.7534 0.1998 0.8544  1 Mo 1.95
23 O 0.7575 0.3444 0.5779  1 Mo 1.92
24 O 0.8661 0.1449 0.2897  1 Mo 1.85
25 O 0.8694 0.7791 0.4110  1 Mo 1.94, 1 Mg 2.16

The value obtained for the density is 5209 kg/m³. As for the space group: P1. As for the distance to the lowest polymorph of the same formula: 0.45 eV per formula unit. Its total DFT energy (no corrections) is -7.6887 eV per atom.